No. 1
This record from the Alexandria database describes crystalline TlCuNiPd at its relaxed geometry. The functional is PBE.

The total energy is -17.14 eV for the cell shown. Its formation energy is 74 meV/atom.

Structure (CIF):
```
data_TlCuNiPd
_chemical_formula_sum 'Tl1 Cu1 Ni1 Pd1'
_space_group_name_H-M_alt 'P 1'
_space_group_IT_number 1
_cell_length_a 4.4287
_cell_length_b 4.4287
_cell_length_c 4.4287
_cell_angle_alpha 60.00
_cell_angle_beta 60.00
_cell_angle_gamma 60.00
loop_
_space_group_symop_operation_xyz
'x,y,z'
loop_
_atom_site_label
_atom_site_type_symbol
_atom_site_fract_x
_atom_site_fract_y
_atom_site_fract_z
_atom_site_occupancy
Tl1 Tl 0.0000 0.0000 0.0000 1
Cu1 Cu 0.5000 0.5000 0.5000 1
Ni1 Ni 0.7500 0.7500 0.7500 1
Pd1 Pd 0.2500 0.2500 0.2500 1
```

No. 2
This record from the Alexandria database describes crystalline Cr4Re3Mo at its relaxed geometry. The functional is PBE.

The total energy is -86.36 eV for the cell shown. Its formation energy is 39 meV/atom.

Structure (CIF):
```
data_Cr4Re3Mo
_chemical_formula_sum 'Cr4 Re3 Mo1'
_space_group_name_H-M_alt 'P 1'
_space_group_IT_number 1
_cell_length_a 2.9944
_cell_length_b 2.9944
_cell_length_c 11.9977
_cell_angle_alpha 90.00
_cell_angle_beta 90.00
_cell_angle_gamma 90.00
loop_
_space_group_symop_operation_xyz
'x,y,z'
loop_
_atom_site_label
_atom_site_type_symbol
_atom_site_fract_x
_atom_site_fract_y
_atom_site_fract_z
_atom_site_occupancy
Cr1 Cr 0.0000 0.0000 0.1241 1
Cr2 Cr 0.0000 0.0000 0.3741 1
Cr3 Cr 0.0000 0.0000 0.6259 1
Cr4 Cr 0.0000 0.0000 0.8759 1
Re1 Re 0.5000 0.5000 0.0000 1
Re2 Re 0.5000 0.5000 0.2498 1
Re3 Re 0.5000 0.5000 0.7502 1
Mo1 Mo 0.5000 0.5000 0.5000 1
```

No. 3
This record from the Alexandria database describes crystalline Ta3Nb3Pt at its relaxed geometry. The functional is PBE.

The total energy is -141.51 eV for the cell shown. Its formation energy is 150 meV/atom.

Structure (CIF):
```
data_Ta3Nb3Pt
_chemical_formula_sum 'Ta6 Nb6 Pt2'
_space_group_name_H-M_alt 'P 1'
_space_group_IT_number 1
_cell_length_a 6.7222
_cell_length_b 6.7222
_cell_length_c 6.3022
_cell_angle_alpha 104.53
_cell_angle_beta 104.53
_cell_angle_gamma 95.99
loop_
_space_group_symop_operation_xyz
'x,y,z'
loop_
_atom_site_label
_atom_site_type_symbol
_atom_site_fract_x
_atom_site_fract_y
_atom_site_fract_z
_atom_site_occupancy
Ta1 Ta 0.0906 0.9094 0.5000 1
Ta2 Ta 0.2963 0.5831 0.6567 1
Ta3 Ta 0.4066 0.6888 0.3087 1
Ta4 Ta 0.5831 0.2963 0.1567 1
Ta5 Ta 0.6888 0.4066 0.8087 1
Ta6 Ta 0.9094 0.0906 0.0000 1
Nb1 Nb 0.1192 0.7776 0.9854 1
Nb2 Nb 0.1956 0.3094 0.8750 1
Nb3 Nb 0.3094 0.1956 0.3750 1
Nb4 Nb 0.6770 0.7822 0.0923 1
Nb5 Nb 0.7776 0.1192 0.4854 1
Nb6 Nb 0.7822 0.6770 0.5923 1
Pt1 Pt 0.4965 0.9949 0.7410 1
Pt2 Pt 0.9949 0.4965 0.2410 1
```

No. 4
This record from the Alexandria database describes crystalline Zn2HgPb at its relaxed geometry. The functional is PBE.

The total energy is -6.09 eV for the cell shown. As for the offset from the most stable computed form: 9 meV/atom. Its formation energy is 117 meV/atom.

Structure (CIF):
```
data_Zn2HgPb
_chemical_formula_sum 'Zn2 Hg1 Pb1'
_space_group_name_H-M_alt 'P 1'
_space_group_IT_number 1
_cell_length_a 9.7299
_cell_length_b 9.7299
_cell_length_c 9.7299
_cell_angle_alpha 19.69
_cell_angle_beta 19.69
_cell_angle_gamma 19.69
loop_
_space_group_symop_operation_xyz
'x,y,z'
loop_
_atom_site_label
_atom_site_type_symbol
_atom_site_fract_x
_atom_site_fract_y
_atom_site_fract_z
_atom_site_occupancy
Zn1 Zn 0.0000 0.0000 0.0000 1
Zn2 Zn 0.2706 0.2706 0.2706 1
Hg1 Hg 0.5273 0.5273 0.5273 1
Pb1 Pb 0.7563 0.7563 0.7563 1
```

DOS at the Fermi energy / states/eV per cell: 2.041; 5.155; 15.170; 0.913